# PBE-GGA Na3Sc3PaS8, relaxed
data_Na3Sc3PaS8
_chemical_formula_sum 'Na3 Sc3 Pa1 S8'
_cell_length_a 8.0135
_cell_length_b 8.0135
_cell_length_c 8.0135
_cell_angle_alpha 56.78
_cell_angle_beta 56.78
_cell_angle_gamma 56.78
_symmetry_space_group_name_H-M 'P 1'
_symmetry_Int_Tables_number 1
loop_
_symmetry_equiv_pos_as_xyz
'x,y,z'
loop_
_atom_site_label
_atom_site_fract_x
_atom_site_fract_y
_atom_site_fract_z
Na1 0.0000 0.5000 0.5000
Na2 0.5000 0.0000 0.5000
Na3 0.5000 0.5000 0.0000
Sc1 0.0000 0.0000 0.5000
Sc2 0.0000 0.5000 0.0000
Sc3 0.5000 0.0000 0.0000
Pa1 0.5000 0.5000 0.5000
S1 0.2304 0.7434 0.7434
S2 0.2384 0.2384 0.2384
S3 0.2566 0.2566 0.7696
S4 0.2566 0.7696 0.2566
S5 0.7434 0.2304 0.7434
S6 0.7434 0.7434 0.2304
S7 0.7616 0.7616 0.7616
S8 0.7696 0.2566 0.2566
# **Space-group type**: R-3m
# **Magnetic moment**: 1.0 μB per formula unit
# **Formation energy from raw total energies**: -1.6935 eV per atom